No. 1
Density functional theory data (PBE-GGA) for a relaxed structure of LiTbThMn.

Unit cell a=5.012 b=5.012 c=5.012 alpha=60.00 beta=60.00 gamma=60.00
Site moments in Bohr magnetons follow the coordinates.
Element x y z (fractional)
1 Tb 0.500 0.500 0.500  -0.36
2 Mn 0.250 0.250 0.250  2.36
3 Th 0.000 0.000 0.000  -0.30
4 Li 0.750 0.750 0.750  -0.05

Calculated values
**Space group**: F-43m, No. 216
**DFT formation energy**: 0.15 eV per atom

***

No. 2
Density functional theory data (PBE-GGA) for a relaxed structure of Er2PCl.

Unit cell a=3.912 b=3.912 c=7.237 alpha=74.32 beta=74.32 gamma=60.00
Element x y z (fractional)
1 P 0.669 0.669 0.994
2 Er 0.264 0.264 0.207
3 Er 0.069 0.069 0.793
4 Cl 0.498 0.498 0.506

Calculated values
**ΔE_f (raw)**: -1.469 eV per atom
**Space group**: R3m, No. 160

***

No. 3
Density functional theory data (PBE-GGA) for a relaxed structure of Ac2SI.

Unit cell a=4.246 b=4.246 c=8.838 alpha=76.10 beta=76.10 gamma=60.00
Element x y z (fractional)
1 Ac 0.733 0.733 0.800
2 Ac 0.267 0.267 0.200
3 I 0.500 0.500 0.500
4 S 0.000 0.000 0.000

Calculated values
**ΔE_f (raw)**: -1.434 eV per atom
**Space group**: R-3m, No. 166
**Energy above the lowest structure with this stoichiometry**: 0 meV/atom

***

No. 4
Density functional theory data (PBE-GGA) for a relaxed structure of AcZnPd3.

Unit cell a=6.220 b=6.220 c=12.537 alpha=90.00 beta=90.00 gamma=120.00
Element x y z (fractional)
1 Pd 0.000 0.500 0.000
2 Pd 0.857 0.143 0.250
3 Pd 0.857 0.715 0.250
4 Pd 0.143 0.285 0.750
5 Pd 0.500 0.000 0.500
6 Pd 0.143 0.857 0.750
7 Pd 0.500 0.500 0.500
8 Pd 0.285 0.143 0.250
9 Pd 0.500 0.000 0.000
10 Pd 0.000 0.500 0.500
11 Pd 0.500 0.500 0.000
12 Pd 0.715 0.857 0.750
13 Ac 0.667 0.333 0.750
14 Ac 0.000 0.000 0.500
15 Ac 0.333 0.667 0.250
16 Ac 0.000 0.000 0.000
17 Zn 0.667 0.333 0.362
18 Zn 0.333 0.667 0.638
19 Zn 0.667 0.333 0.138
20 Zn 0.333 0.667 0.862

Calculated values
**Space group**: P6_3/mmc, No. 194
**Energy above the lowest structure with this stoichiometry**: 0 meV/atom
**DFT formation energy**: -0.62 eV per atom

***

No. 5
Density functional theory data (PBE-GGA) for a relaxed structure of NbCd2Pt.

Unit cell a=4.704 b=4.704 c=4.704 alpha=60.00 beta=60.00 gamma=60.00
Site moments in Bohr magnetons follow the coordinates.
Element x y z (fractional)
1 Pt 0.500 0.500 0.500  0.10
2 Cd 0.750 0.750 0.750  0.02
3 Cd 0.250 0.250 0.250  0.02
4 Nb 0.000 0.000 0.000  0.84

Calculated values
**Space group**: Fm-3m, No. 225
**Energy above the lowest structure with this stoichiometry**: 0 meV/atom
**DFT formation energy**: 0.14 eV per atom

***

No. 6
Density functional theory data (PBE-GGA) for a relaxed structure of MgSiSbI2.

Unit cell a=5.504 b=5.683 c=5.504 alpha=90.00 beta=90.00 gamma=90.00
Element x y z (fractional)
1 Sb 0.000 0.500 0.000
2 I 0.500 0.000 0.000
3 I 0.000 0.000 0.500
4 Mg 0.000 0.000 0.000
5 Si 0.500 0.500 0.500

Calculated values
**ΔE_f (raw)**: 0.504 eV per atom
**Space group**: P4/mmm, No. 123
**Energy above the lowest structure with this stoichiometry**: 183 meV/atom

***

No. 7
Density functional theory data (PBE-GGA) for a relaxed structure of TaCd2NiPb.

Unit cell a=4.931 b=4.887 c=4.931 alpha=90.00 beta=90.00 gamma=90.00
Element x y z (fractional)
1 Cd 0.500 0.000 0.000
2 Cd 0.000 0.000 0.500
3 Pb 0.000 0.500 0.000
4 Ta 0.500 0.500 0.500
5 Ni 0.000 0.000 0.000

Calculated values
**Space group**: P4/mmm, No. 123
**DFT formation energy**: 0.96 eV per atom

***

No. 8
Density functional theory data (PBE-GGA) for a relaxed structure of Nd5Ga4Ag.

Unit cell a=3.679 b=3.679 c=18.844 alpha=90.00 beta=90.00 gamma=90.00
Element x y z (fractional)
1 Nd 0.500 0.500 0.303
2 Nd 0.500 0.500 0.894
3 Nd 0.500 0.500 0.500
4 Nd 0.500 0.500 0.697
5 Nd 0.500 0.500 0.106
6 Ga 0.000 0.000 0.402
7 Ga 0.000 0.000 0.799
8 Ga 0.000 0.000 0.598
9 Ga 0.000 0.000 0.201
10 Ag 0.000 0.000 0.000

Calculated values
**Space group**: P4/mmm, No. 123
**DFT formation energy**: -0.50 eV per atom

***

Number 1: total moment 1.38 μB per formula unit. Number 2: total moment 0.00 μB per formula unit. Number 3: total moment 0.00 μB per formula unit. Number 4: total moment 0.00 μB per formula unit. Number 5: total moment 1.06 μB per formula unit. Number 6: total moment 0.00 μB per formula unit. Number 7: total moment 0.00 μB per formula unit. Number 8: total moment 0.00 μB per formula unit.